Record 1
DFT (GGA-PBEsol) results for a relaxed structure of Al2CrO5.

The polymorph energy (0 for the lowest one) comes out at 4 meV per atom. For the total magnetic moment, the calculation gives 2.00 μB per formula unit. As for the energy relative to the elements, uncorrected: -2568 meV per atom.

Cell lengths 4.9979, 4.9979, 9.4645 Å; angles 90.00, 90.00, 138.17 degrees
Sites, in units of the cell vectors:
Al  0.1411  0.8589  0.5595
Al  0.1411  0.8589  0.9405
Al  0.8589  0.1411  0.0595
Al  0.8589  0.1411  0.4405
Cr  0.1832  0.8168  0.2500
Cr  0.8168  0.1832  0.7500
O  0.0470  0.9530  0.1166
O  0.0470  0.9530  0.3834
O  0.2437  0.7563  0.7500
O  0.3119  0.6881  0.0723
O  0.3119  0.6881  0.4277
O  0.6881  0.3119  0.5723
O  0.6881  0.3119  0.9277
O  0.7563  0.2437  0.2500
O  0.9530  0.0470  0.6166
O  0.9530  0.0470  0.8834


Record 2
DFT (GGA-PBEsol) results for a relaxed structure of Al19CrO30.

For the total magnetic moment, the calculation gives 3.00 μB per formula unit. As for the energy relative to the elements, uncorrected: -3017 meV per atom.

Cell lengths 4.7837, 5.1478, 19.8230 Å; angles 85.59, 89.99, 62.32 degrees
Sites, in units of the cell vectors:
Al  0.0000  0.0000  0.0000
Al  0.0144  0.9713  0.8596
Al  0.1002  0.7993  0.2991
Al  0.1143  0.7712  0.1586
Al  0.2005  0.6007  0.6013
Al  0.2124  0.5743  0.4585
Al  0.3003  0.3998  0.9004
Al  0.3146  0.3707  0.7600
Al  0.4002  0.1996  0.1993
Al  0.4144  0.1715  0.0589
Al  0.5139  0.9704  0.3579
Al  0.6001  0.7996  0.8007
Al  0.6153  0.7712  0.6606
Al  0.7001  0.6000  0.0996
Al  0.7142  0.5715  0.9593
Al  0.7999  0.4014  0.3984
Al  0.8146  0.3709  0.2580
Al  0.9003  0.1993  0.7008
Al  0.9167  0.1713  0.5601
Cr  0.4967  0.0085  0.4993
O  0.0422  0.2942  0.4794
O  0.0742  0.5462  0.2400
O  0.0794  0.1468  0.3398
O  0.1348  0.4245  0.1180
O  0.1404  0.0245  0.2177
O  0.1628  0.2858  0.9797
O  0.2514  0.8857  0.0793
O  0.2739  0.1466  0.8414
O  0.2795  0.7467  0.9410
O  0.3346  0.0241  0.7196
O  0.3408  0.6241  0.8190
O  0.3591  0.8864  0.5829
O  0.4522  0.4844  0.6807
O  0.4717  0.7425  0.4376
O  0.4826  0.3533  0.5412
O  0.5352  0.6243  0.3167
O  0.5392  0.2275  0.4160
O  0.5628  0.4854  0.1789
O  0.6519  0.0849  0.2787
O  0.6738  0.3468  0.0406
O  0.6796  0.9465  0.1403
O  0.7350  0.2245  0.9187
O  0.7405  0.8247  0.0183
O  0.7632  0.0851  0.7803
O  0.8516  0.6855  0.8800
O  0.8718  0.9477  0.6416
O  0.8798  0.5465  0.7416
O  0.9414  0.4252  0.6192
O  0.9487  0.8231  0.5191
O  0.9622  0.6860  0.3787


Record 3
DFT (GGA-PBEsol) results for a relaxed structure of AlCrSnO2.

For the total magnetic moment, the calculation gives 3.92 μB per formula unit. As for the energy relative to the elements, uncorrected: -573 meV per atom.

Cell lengths 3.6552, 3.6552, 5.5980 Å; angles 90.00, 90.00, 90.00 degrees
Sites, in units of the cell vectors:
Al  0.0000  0.0000  0.0000
Cr  0.0000  0.0000  0.5000
Sn  0.5000  0.5000  0.5000
O  0.0000  0.5000  0.0000
O  0.5000  0.0000  0.0000


Look up the energy relative to the elements, uncorrected of the second one.
-3017 meV per atom


Among the records above, which one has the lowest total magnetic moment?
Al2CrO5


Copy entry 1 word for word.
DFT (GGA-PBEsol) results for a relaxed structure of Al2CrO5.

The polymorph energy (0 for the lowest one) comes out at 4 meV per atom. For the total magnetic moment, the calculation gives 2.00 μB per formula unit. As for the energy relative to the elements, uncorrected: -2568 meV per atom.

Cell lengths 4.9979, 4.9979, 9.4645 Å; angles 90.00, 90.00, 138.17 degrees
Sites, in units of the cell vectors:
Al  0.1411  0.8589  0.5595
Al  0.1411  0.8589  0.9405
Al  0.8589  0.1411  0.0595
Al  0.8589  0.1411  0.4405
Cr  0.1832  0.8168  0.2500
Cr  0.8168  0.1832  0.7500
O  0.0470  0.9530  0.1166
O  0.0470  0.9530  0.3834
O  0.2437  0.7563  0.7500
O  0.3119  0.6881  0.0723
O  0.3119  0.6881  0.4277
O  0.6881  0.3119  0.5723
O  0.6881  0.3119  0.9277
O  0.7563  0.2437  0.2500
O  0.9530  0.0470  0.6166
O  0.9530  0.0470  0.8834